(1)
First-principles (PBE) data for Ho2Er3Tm8 after structural relaxation, as listed in Alexandria.

```
Ho2Er3Tm8
1.0
5.340 -0.134 -1.339
-0.541 6.089 -2.769
0.127 1.612 11.652
Ho Er Tm
2 3 8
direct
0.723 0.723 0.445 Ho
0.277 0.277 0.555 Ho
0.500 0.000 0.000 Er
0.000 0.265 0.000 Er
0.000 0.735 0.000 Er
0.425 0.425 0.851 Tm
0.575 0.575 0.149 Tm
0.315 0.815 0.630 Tm
0.685 0.185 0.370 Tm
0.153 0.891 0.305 Tm
0.153 0.414 0.305 Tm
0.847 0.586 0.695 Tm
0.847 0.109 0.695 Tm
```

(2)
First-principles (PBE) data for HoEr6Tm5 after structural relaxation, as listed in Alexandria.

```
HoEr6Tm5
1.0
4.845 0.000 0.955
2.423 7.420 0.477
-1.905 0.000 9.673
Tm Ho Er
5 1 6
direct
0.333 0.333 0.500 Tm
0.667 0.666 0.000 Tm
0.000 0.000 0.500 Tm
0.333 0.334 0.000 Tm
0.667 0.667 0.500 Tm
0.000 0.000 0.000 Ho
0.167 0.667 0.250 Er
0.167 0.667 0.750 Er
0.500 0.000 0.750 Er
0.500 0.000 0.250 Er
0.833 0.333 0.250 Er
0.833 0.333 0.750 Er
```

(3)
First-principles (PBE) data for Ho2Er3Tm2 after structural relaxation, as listed in Alexandria.

```
Ho2Er3Tm2
1.0
-3.345 0.178 0.915
2.316 -5.716 9.492
-0.395 4.092 4.354
Ho Er Tm
2 3 2
direct
0.765 0.134 0.472 Ho
0.235 0.866 0.528 Ho
0.000 0.000 0.000 Er
0.850 0.441 0.297 Er
0.150 0.559 0.703 Er
0.533 0.284 0.935 Tm
0.467 0.716 0.065 Tm
```

(4)
First-principles (PBE) data for Ho3Er2Tm3 after structural relaxation, as listed in Alexandria.

```
Ho3Er2Tm3
1.0
-1.275 1.406 6.070
-4.672 -4.288 0.486
4.586 -4.160 1.453
Ho Er Tm
3 2 3
direct
0.235 0.765 0.000 Ho
0.000 0.235 0.235 Ho
0.765 0.000 0.765 Ho
0.250 0.250 0.750 Er
0.750 0.750 0.250 Er
0.267 0.733 0.500 Tm
0.500 0.267 0.267 Tm
0.733 0.500 0.733 Tm
```

Number 1: formation energy 166.5 meV/atom. Number 2: formation energy 24.4 meV/atom. Number 3: formation energy 108.5 meV/atom. Number 4: formation energy 248.6 meV/atom.